# SrGaPb3 | Alexandria via LeMat-Bulk | PBE-GGA | relaxed
# DOS at the Fermi energy = 3.320 states/eV per cell
# DFT total energy = -0.2326 Ry/atom
# total magnetic moment = 0.00 μB/f.u.
# energy of formation = 0.00 eV per atom
data_SrGaPb3
_chemical_formula_sum 'Sr1 Ga1 Pb3'
_cell_length_a 5.583
_cell_length_b 5.583
_cell_length_c 5.583
_cell_angle_alpha 90.00
_cell_angle_beta 90.00
_cell_angle_gamma 90.00
_space_group_name_H-M_alt 'P m -3 m'
_space_group_IT_number 221
_space_group_name_Hall '-P 4 2 3'
loop_
_atom_site_label
_atom_site_type_symbol
_atom_site_fract_x
_atom_site_fract_y
_atom_site_fract_z
_atom_site_occupancy
Sr1 Sr 0.000 0.000 0.000 1
Ga1 Ga 0.500 0.500 0.500 1
Pb1 Pb 0.000 0.500 0.500 1